Material: LiMgCd2Ag2
Method: DFT, PBE
State: relaxed

Cell: 7.043 5.539 7.232 Å, 90.00 110.95 90.00°
Sites, in units of the cell vectors:
Li1 0.195 0.250 0.047
Li2 0.805 0.750 0.953
Mg1 0.152 0.750 0.356
Mg2 0.848 0.250 0.644
Cd1 0.369 0.003 0.785
Cd2 0.369 0.497 0.785
Cd3 0.631 0.503 0.215
Cd4 0.631 0.997 0.215
Ag1 0.005 0.250 0.310
Ag2 0.423 0.250 0.446
Ag3 0.577 0.750 0.554
Ag4 0.995 0.750 0.690

symmetry: P2_1/m, No. 11
Fermi-level density of states: 1.99 states/eV/f.u.
raw total energy: -1.8606 eV/atom
energy relative to the elements: -0.02 eV/atom